HoVAgF6 | PBE with a Hubbard U | relaxed

Output
SG: P4_2nm (102)
Total energy in eV/atom: -5.82

```
18
Lattice="5.256 0.000 0.000 0.000 5.256 0.000 0.000 0.000 10.387" Properties=species:S:1:pos:R:3 pbc="T T T"
Ho 0.000 0.000 0.000
Ho 2.628 2.628 5.193
V 0.000 0.000 3.508
V 2.628 2.628 8.701
Ag 0.000 0.000 6.956
Ag 2.628 2.628 1.762
F 0.921 0.921 1.786
F 1.091 1.091 4.988
F 1.133 1.133 8.909
F 1.495 3.761 3.716
F 1.537 3.718 10.181
F 1.707 3.549 6.980
F 3.549 1.707 6.980
F 3.718 1.537 10.181
F 3.761 1.495 3.716
F 4.123 4.123 8.909
F 4.165 4.165 4.988
F 4.335 4.335 1.786
```